## SrInReC2 (SCAN)

Data for a PBEsol-optimized structure of SrInReC2.

a = 4.146 Å, b = 4.146 Å, c = 5.163 Å
α = 90.00°, β = 90.00°, γ = 90.00°
Positions (direct):
Sr  0.000  0.000  0.000
In  0.500  0.500  0.000
Re  0.500  0.500  0.500
C  0.000  0.500  0.500
C  0.500  0.000  0.500

---

## ZrInRe2C (SCAN)

Data for a PBEsol-optimized structure of ZrInRe2C.

a = 4.953 Å, b = 4.953 Å, c = 3.856 Å
α = 90.00°, β = 90.00°, γ = 90.00°
Positions (direct):
Zr  0.000  0.000  0.000
In  0.500  0.500  0.500
Re  0.000  0.500  0.500
Re  0.500  0.000  0.500
C  0.500  0.500  0.000

---

## In3RuC (SCAN)

Data for a PBEsol-optimized structure of In3RuC.

a = 4.476 Å, b = 4.476 Å, c = 4.476 Å
α = 90.00°, β = 90.00°, γ = 90.00°
Positions (direct):
In  0.000  0.000  0.500
In  0.000  0.500  0.000
In  0.500  0.000  0.000
Ru  0.500  0.500  0.500
C  0.000  0.000  0.000

Output
Polymorph energy (0 for the lowest one) (meV/atom): 0

---

## In3RuC (SCAN)

Data for a PBEsol-optimized structure of In3RuC.

a = 5.048 Å, b = 5.048 Å, c = 5.048 Å
α = 90.00°, β = 90.00°, γ = 90.00°
Positions (direct):
In  0.000  0.000  0.500
In  0.000  0.500  0.000
In  0.500  0.000  0.000
Ru  0.000  0.000  0.000
C  0.500  0.500  0.500

Output
Polymorph energy (0 for the lowest one) (meV/atom): 67

---

Calculated formation energy list, top to bottom, in eV per formula unit: 4.76 12.61 6.09 6.42
Spin magnetization list, top to bottom, in μB per formula unit: 0.00 1.15 0.00 2.39